[1]
An optimized crystal structure of LaB4Rh4, computed with PBE-GGA.

As for the energy above the most stable polymorph in this dataset: 0.050 eV per atom. The calculation puts the formation energy at -0.541 eV/atom. The total magnetization is 0.00 μB per formula unit.

The space group is P4_2/nmc (No. 137, origin choice 2) and the conventional cell measures 5.3985, 5.3985 and 7.5793 Å, with angles of 90.00, 90.00 and 90.00 degrees. The asymmetric unit holds La at (0.2500, 0.7500, 0.2500), B at (0.0825, 0.2500, 0.0981) and Rh at (0.0014, 0.7500, 0.6073).

[2]
An optimized crystal structure of PaFeCuSb, computed with PBE-GGA.

The calculation puts the uncorrected formation energy at -0.057 eV per atom. The total magnetization is 0.91 μB per formula unit.

The space group is F-43m (No. 216) and the conventional cell measures 6.5936, 6.5936 and 6.5936 Å, with angles of 90.00, 90.00 and 90.00 degrees. The asymmetric unit holds Pa at (0.0000, 0.0000, 0.0000), Fe at (0.2500, 0.2500, 0.2500), Cu at (0.2500, 0.2500, 0.7500) and Sb at (0.0000, 0.0000, 0.5000).

[3]
An optimized crystal structure of PmHoBi2, computed with PBE-GGA.

As for the energy above the most stable polymorph in this dataset: 0.258 eV per atom. The calculation puts the formation energy at -0.629 eV/atom. The total magnetization is 0.00 μB per formula unit.

The space group is Fm-3m (No. 225) and the conventional cell measures 7.8417, 7.8417 and 7.8417 Å, with angles of 90.00, 90.00 and 90.00 degrees. The asymmetric unit holds Pm at (0.0000, 0.0000, 0.0000), Ho at (0.0000, 0.0000, 0.5000) and Bi at (0.2500, 0.2500, 0.2500).

[4]
An optimized crystal structure of DyB6, computed with PBE-GGA.

As for the energy above the most stable polymorph in this dataset: 0.000 eV per atom. The calculation puts the formation energy at -0.395 eV/atom. The total magnetization is 0.00 μB per formula unit.

The space group is Pm-3m (No. 221) and the conventional cell measures 4.0952, 4.0952 and 4.0952 Å, with angles of 90.00, 90.00 and 90.00 degrees. The asymmetric unit holds Dy at (0.0000, 0.0000, 0.0000) and B at (0.1989, 0.5000, 0.5000).

[5]
An optimized crystal structure of BeAlSi2, computed with PBE-GGA.

The calculation puts the uncorrected formation energy at 0.318 eV per atom. As for the energy above the most stable polymorph in this dataset: 0.004 eV per atom. The total magnetization is 0.00 μB per formula unit.

The space group is Cmmm (No. 65) and the conventional cell measures 3.7016, 4.0324 and 7.1776 Å, with angles of 90.00, 90.00 and 90.00 degrees. The asymmetric unit holds Be at (0.0000, 0.0000, 0.0000), Al at (0.0000, 0.0000, 0.5000) and Si at (0.0000, 0.5000, 0.2187).

[6]
An optimized crystal structure of LaBeCu, computed with PBE-GGA.

As for the energy above the most stable polymorph in this dataset: 0.127 eV per atom. The calculation puts the formation energy at 0.121 eV/atom. The total magnetization is 0.00 μB per formula unit.

The space group is Cmcm (No. 63) and the conventional cell measures 4.5045, 14.1058 and 4.1516 Å, with angles of 90.00, 90.00 and 90.00 degrees. The asymmetric unit holds La at (0.0000, 0.1369, 0.2500), Be at (0.0000, 0.5000, 0.0000) and Cu at (0.0000, 0.3632, 0.2500).

[7]
An optimized crystal structure of Dy3Ho2Er7, computed with PBE-GGA.

As for the energy above the most stable polymorph in this dataset: 0.000 eV per atom. The calculation puts the formation energy at 0.165 eV/atom. The total magnetization is 0.02 μB per formula unit.

The space group is Cmmm (No. 65) and the conventional cell measures 5.7519, 36.9227 and 3.5493 Å, with angles of 90.00, 90.00 and 90.00 degrees. The asymmetric unit holds Dy at (0.0000, 0.0000, 0.0000), Dy at (0.0000, 0.1502, 0.0000), Ho at (0.0000, 0.3243, 0.5000), Er at (0.0000, 0.0727, 0.5000), Er at (0.0000, 0.2297, 0.5000), Er at (0.0000, 0.4099, 0.0000) and Er at (0.0000, 0.5000, 0.5000).

[8]
An optimized crystal structure of Nd12Er6Pu, computed with PBE-GGA.

The calculation puts the formation energy at 0.037 eV/atom. The total magnetization is 6.83 μB per formula unit.

The space group is R-3 (No. 148, hexagonal axes) and the conventional cell measures 15.7480, 15.7480 and 8.8529 Å, with angles of 90.00, 90.00 and 120.00 degrees. The asymmetric unit holds Nd at (0.0355, 0.7561, 0.3375), Nd at (0.0737, 0.5111, 0.6665), Er at (0.0169, 0.8806, 0.6672) and Pu at (0.0000, 0.0000, 0.0000).

[9]
An optimized crystal structure of K2ZnAgH6, computed with PBE-GGA.

The total magnetization is 0.00 μB per formula unit.

The space group is I4/mmm (No. 139) and the conventional cell measures 5.4604, 5.4604 and 8.3549 Å, with angles of 90.00, 90.00 and 90.00 degrees. The asymmetric unit holds K at (0.0000, 0.5000, 0.2500), Zn at (0.0000, 0.0000, 0.0000), Ag at (0.0000, 0.0000, 0.5000), H at (0.0000, 0.0000, 0.1996) and H at (0.2389, 0.2389, 0.5000).

[10]
An optimized crystal structure of BaSnOsO6, computed with PBE-GGA.

The calculation puts the uncorrected formation energy at -1.586 eV per atom. The total magnetization is 0.00 μB per formula unit.

The space group is Imma (No. 74) and the conventional cell measures 7.2586, 7.2790 and 10.3171 Å, with angles of 90.00, 90.00 and 90.00 degrees. The asymmetric unit holds Ba at (0.0000, 0.2500, 0.1404), Sn at (0.2500, 0.2500, 0.7500), Os at (0.0000, 0.0000, 0.5000), O at (0.0000, 0.2500, 0.4818), O at (0.0000, 0.2500, 0.8444) and O at (0.1890, 0.0144, 0.6324).

[11]
An optimized crystal structure of CdAgW2, computed with PBE-GGA.

The calculation puts the formation energy at 0.340 eV/atom. The total magnetization is 0.00 μB per formula unit.

The space group is Cmm2 (No. 35) and the conventional cell measures 3.2317, 4.5700 and 9.4984 Å, with angles of 90.00, 90.00 and 90.00 degrees. The asymmetric unit holds Cd at (0.0000, 0.0000, 0.0000), Ag at (0.0000, 0.5000, 0.7407), W at (0.0000, 0.0000, 0.4889) and W at (0.0000, 0.5000, 0.2641).

[12]
An optimized crystal structure of HfCr2Bi2, computed with PBE-GGA.

As for the energy above the most stable polymorph in this dataset: 0.000 eV per atom. The calculation puts the formation energy at 0.492 eV/atom. The total magnetization is 6.02 μB per formula unit.

The space group is P4/mbm (No. 127) and the conventional cell measures 7.5407, 7.5407 and 3.8255 Å, with angles of 90.00, 90.00 and 90.00 degrees. The asymmetric unit holds Hf at (0.0000, 0.0000, 0.0000), Cr at (0.1300, 0.3700, 0.0000) and Bi at (0.1741, 0.6741, 0.5000).

In hartree per atom, the total energy values for the records above are, in order, -0.269; -0.243; -0.180; -0.249; -0.157; -0.152; -0.162; -0.190; -0.098; -0.250; -0.260; -0.254.